Entry 1:
A plane-wave DFT calculation with PBE was carried out for a relaxed SrNbCu crystal.

```
data_SrNbCu
_symmetry_space_group_name_H-M 'P 1 m 1'
_symmetry_Int_Tables_number 6
_symmetry_space_group_name_Hall 'P -2y'
_cell_length_a 4.2092
_cell_length_b 4.2993
_cell_length_c 8.3614
_cell_angle_alpha 90.00
_cell_angle_beta 90.91
_cell_angle_gamma 90.00
loop_
_atom_site_label
_atom_site_fract_x
_atom_site_fract_y
_atom_site_fract_z
Sr1 0.0000 0.0000 0.0000
Sr2 0.4936 0.5000 0.6678
Nb1 0.0398 0.5000 0.3139
Nb2 0.9790 0.0000 0.4911
Cu1 0.4911 0.0000 0.3082
Cu2 0.5258 0.5000 0.1215
```



Entry 2:
A plane-wave DFT calculation with PBE was carried out for a relaxed SrNbCu crystal.

```
data_SrNbCu
_symmetry_space_group_name_H-M 'C m c m'
_symmetry_Int_Tables_number 63
_symmetry_space_group_name_Hall '-C 2c 2'
_cell_length_a 4.3287
_cell_length_b 10.7366
_cell_length_c 6.0047
_cell_angle_alpha 90.00
_cell_angle_beta 90.00
_cell_angle_gamma 90.00
loop_
_atom_site_label
_atom_site_fract_x
_atom_site_fract_y
_atom_site_fract_z
Sr1 0.0000 0.0000 0.0000
Nb1 0.0000 0.2842 0.2500
Cu1 0.0000 0.3236 0.7500
```



Entry 3:
A plane-wave DFT calculation with PBE was carried out for a relaxed SrNbCu crystal.

```
data_SrNbCu
_symmetry_space_group_name_H-M 'P 1'
_symmetry_Int_Tables_number 1
_symmetry_space_group_name_Hall 'P 1'
_cell_length_a 3.4971
_cell_length_b 6.1054
_cell_length_c 7.6553
_cell_angle_alpha 112.16
_cell_angle_beta 103.04
_cell_angle_gamma 90.40
loop_
_atom_site_label
_atom_site_fract_x
_atom_site_fract_y
_atom_site_fract_z
Sr1 0.0000 0.0000 0.0000
Sr2 0.3599 0.3670 0.7193
Nb1 0.2643 0.7860 0.5261
Nb2 0.6704 0.4589 0.3410
Cu1 0.0676 0.5839 0.1297
Cu2 0.6796 0.9797 0.3542
```



Entry 4:
A plane-wave DFT calculation with PBE was carried out for a relaxed SrNbCu crystal.

```
data_SrNbCu
_symmetry_space_group_name_H-M 'F -4 3 m'
_symmetry_Int_Tables_number 216
_symmetry_space_group_name_Hall 'F -4 2 3'
_cell_length_a 7.1538
_cell_length_b 7.1538
_cell_length_c 7.1538
_cell_angle_alpha 90.00
_cell_angle_beta 90.00
_cell_angle_gamma 90.00
loop_
_atom_site_label
_atom_site_fract_x
_atom_site_fract_y
_atom_site_fract_z
Sr1 0.0000 0.0000 0.0000
Nb1 0.2500 0.2500 0.7500
Cu1 0.2500 0.2500 0.2500
```



Entry 5:
A plane-wave DFT calculation with PBE was carried out for a relaxed SrNbCu crystal.

```
data_SrNbCu
_symmetry_space_group_name_H-M 'P 63/m m c'
_symmetry_Int_Tables_number 194
_symmetry_space_group_name_Hall '-P 6c 2c'
_cell_length_a 4.7828
_cell_length_b 4.7828
_cell_length_c 12.9015
_cell_angle_alpha 90.00
_cell_angle_beta 90.00
_cell_angle_gamma 120.00
loop_
_atom_site_label
_atom_site_fract_x
_atom_site_fract_y
_atom_site_fract_z
Sr1 0.0000 0.0000 0.2500
Nb1 0.0000 0.0000 0.0000
Cu1 0.3333 0.6667 0.2500
```



Entry 6:
A plane-wave DFT calculation with PBE was carried out for a relaxed SrNb3Cu crystal.

```
data_SrNb3Cu
_symmetry_space_group_name_H-M 'P m -3 m'
_symmetry_Int_Tables_number 221
_symmetry_space_group_name_Hall '-P 4 2 3'
_cell_length_a 4.8850
_cell_length_b 4.8850
_cell_length_c 4.8850
_cell_angle_alpha 90.00
_cell_angle_beta 90.00
_cell_angle_gamma 90.00
loop_
_atom_site_label
_atom_site_fract_x
_atom_site_fract_y
_atom_site_fract_z
Sr1 0.0000 0.0000 0.0000
Nb1 0.0000 0.5000 0.5000
Cu1 0.5000 0.5000 0.5000
```



Entry 7:
A plane-wave DFT calculation with PBE was carried out for a relaxed SrNbCu crystal.

```
data_SrNbCu
_symmetry_space_group_name_H-M 'P -1'
_symmetry_Int_Tables_number 2
_symmetry_space_group_name_Hall '-P 1'
_cell_length_a 3.6342
_cell_length_b 6.2684
_cell_length_c 6.6022
_cell_angle_alpha 104.82
_cell_angle_beta 90.10
_cell_angle_gamma 106.73
loop_
_atom_site_label
_atom_site_fract_x
_atom_site_fract_y
_atom_site_fract_z
Sr1 0.0101 0.0159 0.2605
Nb1 0.2923 0.5837 0.8966
Cu1 0.2934 0.5877 0.4063
```



Entry 8:
A plane-wave DFT calculation with PBE was carried out for a relaxed SrNbCu crystal.

```
data_SrNbCu
_symmetry_space_group_name_H-M 'F -4 3 m'
_symmetry_Int_Tables_number 216
_symmetry_space_group_name_Hall 'F -4 2 3'
_cell_length_a 6.6364
_cell_length_b 6.6364
_cell_length_c 6.6364
_cell_angle_alpha 90.00
_cell_angle_beta 90.00
_cell_angle_gamma 90.00
loop_
_atom_site_label
_atom_site_fract_x
_atom_site_fract_y
_atom_site_fract_z
Sr1 0.0000 0.0000 0.0000
Nb1 0.2500 0.2500 0.7500
Cu1 0.0000 0.0000 0.5000
```



Entry 9:
A plane-wave DFT calculation with PBE was carried out for a relaxed SrNbCu crystal.

```
data_SrNbCu
_symmetry_space_group_name_H-M 'P 4/n m m'
_symmetry_Int_Tables_number 129
_cell_length_a 4.1345
_cell_length_b 4.1345
_cell_length_c 7.6576
_cell_angle_alpha 90.00
_cell_angle_beta 90.00
_cell_angle_gamma 90.00
loop_
_symmetry_equiv_pos_as_xyz
'x,y,z'
'-x,-y,-z'
'-y+1/2,x,z'
'y+1/2,-x,-z'
'-x+1/2,-y+1/2,z'
'x+1/2,y+1/2,-z'
'y,-x+1/2,z'
'-y,x+1/2,-z'
'x+1/2,-y,-z'
'-x+1/2,y,z'
'-y,-x,-z'
'y,x,z'
'-x,y+1/2,-z'
'x,-y+1/2,z'
'y+1/2,x+1/2,-z'
'-y+1/2,-x+1/2,z'
loop_
_atom_site_label
_atom_site_fract_x
_atom_site_fract_y
_atom_site_fract_z
Sr1 0.2500 0.7500 0.0000
Nb1 0.2500 0.2500 0.3964
Cu1 0.2500 0.2500 0.7056
```



Entry 10:
A plane-wave DFT calculation with PBE was carried out for a relaxed SrNbCu crystal.

```
data_SrNbCu
_symmetry_space_group_name_H-M 'C 1 m 1'
_symmetry_Int_Tables_number 8
_symmetry_space_group_name_Hall 'C -2y'
_cell_length_a 7.5753
_cell_length_b 4.3738
_cell_length_c 10.1669
_cell_angle_alpha 90.00
_cell_angle_beta 90.08
_cell_angle_gamma 90.00
loop_
_atom_site_label
_atom_site_fract_x
_atom_site_fract_y
_atom_site_fract_z
Sr1 0.0000 0.0000 0.0000
Sr2 0.1655 0.5000 0.3594
Nb1 0.3329 0.0000 0.7751
Nb2 0.4993 0.5000 0.6345
Cu1 0.1661 0.5000 0.7674
Cu2 0.3322 0.0000 0.5281
```



Entry 11:
A plane-wave DFT calculation with PBE was carried out for a relaxed SrNbCu crystal.

```
data_SrNbCu
_symmetry_space_group_name_H-M 'C 1 m 1'
_symmetry_Int_Tables_number 8
_symmetry_space_group_name_Hall 'C -2y'
_cell_length_a 9.9345
_cell_length_b 6.3724
_cell_length_c 5.1164
_cell_angle_alpha 90.00
_cell_angle_beta 120.64
_cell_angle_gamma 90.00
loop_
_atom_site_label
_atom_site_fract_x
_atom_site_fract_y
_atom_site_fract_z
Sr1 0.0000 0.0000 0.0000
Sr2 0.2357 0.5000 0.2379
Nb1 0.3328 0.0000 0.6597
Nb2 0.3989 0.0000 0.2241
Cu1 0.1174 0.2546 0.6407
```



Entry 12:
A plane-wave DFT calculation with PBE was carried out for a relaxed SrNb3Cu crystal.

```
data_SrNb3Cu
_symmetry_space_group_name_H-M 'P m -3 m'
_symmetry_Int_Tables_number 221
_symmetry_space_group_name_Hall '-P 4 2 3'
_cell_length_a 4.8280
_cell_length_b 4.8280
_cell_length_c 4.8280
_cell_angle_alpha 90.00
_cell_angle_beta 90.00
_cell_angle_gamma 90.00
loop_
_atom_site_label
_atom_site_fract_x
_atom_site_fract_y
_atom_site_fract_z
Sr1 0.0000 0.0000 0.0000
Nb1 0.0000 0.0000 0.5000
Cu1 0.5000 0.5000 0.5000
```



| no. | offset from the most stable computed form (meV/atom) |
| --- | --- |
| 1 | 79 |
| 2 | 508 |
| 3 | 134 |
| 4 | 1412 |
| 5 | 1979 |
| 6 | 0 |
| 7 | 124 |
| 8 | 1086 |
| 9 | 644 |
| 10 | 37 |
| 11 | 81 |
| 12 | 1521 |